DFT (PBE) results for a relaxed LiNiIrW crystal.

N(E_F)   0.79 states/eV/atom
ΔE_f   -1.87 kcal/mol of atoms
Crystal system   cubic
Total magnetic moment   0.00 Bohr magnetons per cell
Uncorrected energy   -7.458 eV/atom

a b c (Å): 4.2353 4.2353 4.2353
angles (deg): 60.00 60.00 60.00
Last column: nearest neighbours and their distance in Å.
Fractional positions:
1 Ni 0.2500 0.2500 0.2500  4 W 2.59, 4 Li 2.59
2 Ir 0.7500 0.7500 0.7500  4 Li 2.59, 4 W 2.59
3 W 0.0000 0.0000 0.0000  4 Ir 2.59, 4 Ni 2.59
4 Li 0.5000 0.5000 0.5000  4 Ni 2.59, 4 Ir 2.59